Density functional theory data (GGA+U) for a relaxed structure of NaCo2HSe2O7.

The total energy comes out at -0.400 Ry/atom.

Lattice parameters (Å, degrees): 13.1632 5.9578 8.2988 90.00 90.00 90.00
Fractional positions:
Se 0.8305 0.2500 0.7269
O 0.7549 0.9658 0.1933
O 0.5094 0.5225 0.7477
Co 0.1146 0.2500 0.7848
O 0.7451 0.4658 0.6933
Co 0.8854 0.7500 0.2152
O 0.2451 0.0342 0.8067
O 0.1066 0.7500 0.4612
O 0.4906 0.4775 0.2523
Se 0.0236 0.7500 0.8816
O 0.3934 0.2500 0.9612
O 0.7549 0.5342 0.1933
O 0.9062 0.7500 0.9718
O 0.8934 0.2500 0.5388
O 0.4906 0.0225 0.2523
O 0.0938 0.2500 0.0282
Se 0.3305 0.2500 0.7731
O 0.7451 0.0342 0.6933
H 0.3339 0.7500 0.9646
H 0.1661 0.2500 0.4646
O 0.0094 0.9775 0.7523
Co 0.5000 0.0000 0.0000
O 0.9906 0.4775 0.2477
Na 0.7531 0.2500 0.3747
O 0.4062 0.7500 0.5282
O 0.2549 0.9658 0.3067
O 0.5094 0.9775 0.7477
O 0.0094 0.5225 0.7523
O 0.3928 0.7500 0.0362
O 0.2549 0.5342 0.3067
Se 0.6695 0.7500 0.2269
H 0.8339 0.7500 0.5354
Co 0.0000 0.0000 0.5000
O 0.9906 0.0225 0.2477
Na 0.2469 0.7500 0.6253
O 0.1072 0.2500 0.5362
Se 0.1695 0.7500 0.2731
O 0.8928 0.7500 0.4638
Co 0.3854 0.7500 0.2848
Se 0.9764 0.2500 0.1184
O 0.2451 0.4658 0.8067
Na 0.2531 0.2500 0.1253
O 0.5938 0.2500 0.4718
Co 0.5000 0.5000 0.0000
Co 0.6146 0.2500 0.7152
H 0.6661 0.2500 0.0354
Na 0.7469 0.7500 0.8747
Co 0.0000 0.5000 0.5000
O 0.6066 0.7500 0.0388
Se 0.5236 0.7500 0.6184
Se 0.4764 0.2500 0.3816
O 0.6072 0.2500 0.9638